[1]
Below is PaZn2CoO6 after structural relaxation, with properties calculated at the GGA+U level.

Cell and atoms, written as CIF:
```
data_PaZn2CoO6
_space_group_name_H-M_alt 'P 1'
_space_group_IT_number 1
_cell_length_a 5.534
_cell_length_b 6.909
_cell_length_c 6.909
_cell_angle_alpha 82.23
_cell_angle_beta 82.18
_cell_angle_gamma 82.18
loop_
_space_group_symop_operation_xyz
'x,y,z'
loop_
_atom_site_label
_atom_site_fract_x
_atom_site_fract_y
_atom_site_fract_z
Pa1 0.250 0.279 0.721
Pa2 0.750 0.721 0.279
Zn1 0.185 0.802 0.607
Zn2 0.315 0.393 0.198
Zn3 0.815 0.198 0.393
Zn4 0.685 0.607 0.802
Co1 0.250 0.906 0.094
Co2 0.750 0.094 0.906
O1 0.115 0.983 0.814
O2 0.385 0.186 0.017
O3 0.885 0.017 0.186
O4 0.615 0.814 0.983
O5 0.376 0.873 0.347
O6 0.124 0.653 0.127
O7 0.624 0.127 0.653
O8 0.876 0.347 0.873
O9 0.879 0.711 0.558
O10 0.621 0.442 0.289
O11 0.121 0.289 0.442
O12 0.379 0.558 0.711
```

Output
Uncorrected energy (eV/atom): -6.68
Total magnetic moment (μB/atom): 0.402

***

[2]
Below is PaZnCo2O8 after structural relaxation, with properties calculated at the GGA+U level.

Cell and atoms, written as CIF:
```
data_PaZnCo2O8
_space_group_name_H-M_alt 'P 1'
_space_group_IT_number 1
_cell_length_a 5.860
_cell_length_b 5.860
_cell_length_c 5.860
_cell_angle_alpha 107.66
_cell_angle_beta 107.66
_cell_angle_gamma 113.15
loop_
_space_group_symop_operation_xyz
'x,y,z'
loop_
_atom_site_label
_atom_site_fract_x
_atom_site_fract_y
_atom_site_fract_z
Pa1 0.000 0.000 0.000
Zn1 0.250 0.750 0.500
Co1 0.750 0.250 0.500
Co2 0.500 0.500 0.000
O1 0.374 0.064 0.309
O2 0.315 0.496 0.181
O3 0.315 0.134 0.819
O4 0.755 0.064 0.691
O5 0.866 0.685 0.181
O6 0.936 0.245 0.309
O7 0.936 0.626 0.691
O8 0.504 0.685 0.819
```

Output
Uncorrected energy (eV/atom): -6.45
Total magnetic moment (μB/atom): 0.586